Entry 1:
Na2TaSnSb | the Alexandria database | PBE | relaxed; raw total energy = -0.123 Ha/atom; space-group type = P4/mmm; D(E_F) = 0.94 states/eV per atom; formation energy from raw total energies = 5.9 eV per formula unit
1.0
5.681 0.000 0.000
0.000 5.414 0.000
0.000 0.000 5.681
Sb Na Ta Sn
1 2 1 1
Direct
0.500 0.500 0.500 Sb
0.500 0.000 0.000 Na
0.000 0.000 0.500 Na
0.000 0.000 0.000 Ta
0.000 0.500 0.000 Sn


Entry 2:
Mg6CdPt | the Alexandria database | PBE | relaxed; raw total energy = -0.079 Ha/atom; space-group type = C2/m; excess energy over the best structure of this formula in the dataset = 170 meV per atom; D(E_F) = 0.36 states/eV per atom; energy of formation = -0.09 eV per atom
1.0
-1.628 1.267 5.784
-5.311 -2.731 2.245
0.208 -5.523 2.840
Mg Cd Pt
6 1 1
Direct
0.743 0.071 0.415 Mg
0.257 0.929 0.585 Mg
0.743 0.486 0.585 Mg
0.257 0.514 0.415 Mg
0.734 0.739 0.000 Mg
0.266 0.261 0.000 Mg
0.000 0.000 0.000 Cd
0.500 0.500 0.000 Pt


For the records above, the corresponding magnetic moment values read 3.044 0.000 μB/f.u..